The following is a GGA-PBE calculation of Rb2ReCF6 after structural relaxation, from Alexandria.

POSCAR file:
```
Rb2ReCF6
1.0
-1.421 2.461 5.467
-5.335 -3.082 0.001
-1.216 -4.053 4.981
Re C Rb F
1 1 2 6
Direct
0.000 0.000 0.000
0.500 0.500 0.000
0.750 0.250 0.500
0.250 0.750 0.500
0.205 0.205 0.589
0.795 0.795 0.411
0.230 0.230 0.000
0.770 0.770 0.000
0.770 0.230 0.000
0.230 0.770 0.000
```

Results
Uncorrected formation energy in eV/atom: -1.27
N(E_F) in states/eV per cell: 21.3
Space group: I4/mmm, No. 139